# 1
Entry from the Alexandria database: a relaxed structure of Tb2ZnAu4 (PBE-GGA).

a = 5.832 Å, b = 5.961 Å, c = 8.868 Å
α = 90.00°, β = 103.09°, γ = 90.00°
Space group P2_1/m (No. 11)
Inequivalent atoms, fractional coordinates:
Tb: 0.128 0.250 0.412 [2 per cell]
Tb: 0.301 0.750 0.022 [2 per cell]
Zn: 0.092 0.250 0.795 [2 per cell]
Au: 0.218 0.250 0.093 [2 per cell]
Au: 0.288 0.750 0.415 [2 per cell]
Au: 0.388 0.517 0.708 [4 per cell]

Calculated values
- distance to the lowest polymorph of the same formula (meV per atom) = 21
- spin magnetization (Bohr magnetons per cell) = 0.00
- uncorrected energy (eV/atom) = -4.030
- calculated volume (Å³/atom) = 21.4
- E_form (meV/atom) = -653

# 2
Entry from the Alexandria database: a relaxed structure of HgPt3F (PBE-GGA).

a = 5.081 Å, b = 5.081 Å, c = 5.081 Å
α = 90.00°, β = 90.00°, γ = 90.00°
Space group Pm-3m (No. 221)
Inequivalent atoms, fractional coordinates:
Hg: 0.000 0.000 0.000 [1 per cell]
Pt: 0.000 0.000 0.500 [3 per cell]
F: 0.500 0.500 0.500 [1 per cell]

Calculated values
- distance to the lowest polymorph of the same formula (meV per atom) = 820
- spin magnetization (Bohr magnetons per cell) = 0.65
- uncorrected energy (eV/atom) = -2.554
- calculated volume (Å³/atom) = 26.2
- formation energy without anion corrections (meV per atom) = 1505

# 3
Entry from the Alexandria database: a relaxed structure of Tl3Co (PBE-GGA).

a = 3.4722 Å, b = 3.4722 Å, c = 27.8777 Å
α = 90.00°, β = 90.00°, γ = 120.00°
Space group R-3m (No. 166, hexagonal axes)
Inequivalent atoms, fractional coordinates:
Tl: 0.0000 0.0000 0.0000 [3 per cell]
Tl: 0.0000 0.0000 0.2328 [6 per cell]
Co: 0.0000 0.0000 0.5000 [3 per cell]

Calculated values
- spin magnetization (Bohr magnetons per cell) = 3.45
- uncorrected energy (eV/atom) = -3.150
- calculated volume (Å³/atom) = 24.3
- E_form (meV/atom) = 402

# 4
Entry from the Alexandria database: a relaxed structure of Cs2Ce2DySe6 (PBE-GGA).

a = 7.421 Å, b = 12.825 Å, c = 8.886 Å
α = 90.00°, β = 106.08°, γ = 90.00°
Space group C2/m (No. 12)
Inequivalent atoms, fractional coordinates:
Cs: 0.000 0.167 0.000 [4 per cell]
Ce: 0.000 0.334 0.500 [4 per cell]
Dy: 0.000 0.000 0.500 [2 per cell]
Se: 0.225 0.165 0.682 [8 per cell]
Se: 0.232 0.500 0.682 [4 per cell]

Calculated values
- spin magnetization (Bohr magnetons per cell) = 2.04
- uncorrected energy (eV/atom) = -5.278
- calculated volume (Å³/atom) = 36.9
- formation energy without anion corrections (meV per atom) = -1725

# 5
Entry from the Alexandria database: a relaxed structure of NaSc2BiSb (PBE-GGA).

a = 5.284 Å, b = 5.284 Å, c = 5.167 Å
α = 90.00°, β = 90.00°, γ = 90.00°
Space group P4/mmm (No. 123)
Inequivalent atoms, fractional coordinates:
Na: 0.000 0.000 0.000 [1 per cell]
Sc: 0.000 0.500 0.000 [2 per cell]
Bi: 0.000 0.000 0.500 [1 per cell]
Sb: 0.500 0.500 0.500 [1 per cell]

Calculated values
- spin magnetization (Bohr magnetons per cell) = 0.00
- uncorrected energy (eV/atom) = -3.737
- calculated volume (Å³/atom) = 28.8
- formation energy without anion corrections (meV per atom) = 661

# 6
Entry from the Alexandria database: a relaxed structure of Th2ZnFeAg (PBE-GGA).

a = 7.735 Å, b = 3.900 Å, c = 7.978 Å
α = 90.00°, β = 111.71°, γ = 90.00°
Space group P2_1/m (No. 11)
Inequivalent atoms, fractional coordinates:
Th: 0.011 0.250 0.224 [2 per cell]
Th: 0.347 0.750 0.606 [2 per cell]
Zn: 0.362 0.250 0.940 [2 per cell]
Fe: 0.114 0.250 0.622 [2 per cell]
Ag: 0.318 0.750 0.172 [2 per cell]

Calculated values
- spin magnetization (Bohr magnetons per cell) = 0.00
- uncorrected energy (eV/atom) = -5.651
- calculated volume (Å³/atom) = 22.4
- E_form (meV/atom) = -166

# 7
Entry from the Alexandria database: a relaxed structure of LiPaGe (PBE-GGA).

a = 6.595 Å, b = 6.595 Å, c = 6.595 Å
α = 90.00°, β = 90.00°, γ = 90.00°
Space group F-43m (No. 216)
Inequivalent atoms, fractional coordinates:
Li: 0.000 0.000 0.000 [4 per cell]
Pa: 0.000 0.000 0.500 [4 per cell]
Ge: 0.250 0.250 0.250 [4 per cell]

Calculated values
- distance to the lowest polymorph of the same formula (meV per atom) = 398
- spin magnetization (Bohr magnetons per cell) = 4.74
- uncorrected energy (eV/atom) = -5.300
- calculated volume (Å³/atom) = 23.9
- E_form (meV/atom) = 42

# 8
Entry from the Alexandria database: a relaxed structure of La3Nd2Dy2 (PBE-GGA).

a = 17.950 Å, b = 3.568 Å, c = 8.728 Å
α = 90.00°, β = 118.71°, γ = 90.00°
Space group C2/m (No. 12)
Inequivalent atoms, fractional coordinates:
La: 0.000 0.000 0.000 [2 per cell]
La: 0.213 0.000 0.294 [4 per cell]
Nd: 0.064 0.500 0.411 [4 per cell]
Dy: 0.146 0.000 0.831 [4 per cell]

Calculated values
- distance to the lowest polymorph of the same formula (meV per atom) = 88
- spin magnetization (Bohr magnetons per cell) = 0.00
- uncorrected energy (eV/atom) = -4.679
- calculated volume (Å³/atom) = 35.0
- E_form (meV/atom) = 110

# 9
Entry from the Alexandria database: a relaxed structure of LaSm2Au4 (PBE-GGA).

a = 5.208 Å, b = 5.208 Å, c = 6.983 Å
α = 90.00°, β = 90.00°, γ = 90.00°
Space group P4/mmm (No. 123)
Inequivalent atoms, fractional coordinates:
La: 0.000 0.000 0.000 [1 per cell]
Sm: 0.000 0.000 0.500 [1 per cell]
Sm: 0.500 0.500 0.000 [1 per cell]
Au: 0.000 0.500 0.255 [4 per cell]

Calculated values
- spin magnetization (Bohr magnetons per cell) = 0.00
- uncorrected energy (eV/atom) = -4.518
- calculated volume (Å³/atom) = 27.1
- E_form (meV/atom) = -593

# 10
Entry from the Alexandria database: a relaxed structure of CsBaPb6 (PBE-GGA).

a = 5.923 Å, b = 7.052 Å, c = 14.340 Å
α = 90.00°, β = 90.00°, γ = 90.00°
Space group Amm2 (No. 38)
Inequivalent atoms, fractional coordinates:
Cs: 0.000 0.000 0.000 [2 per cell]
Ba: 0.500 0.000 0.616 [2 per cell]
Pb: 0.000 0.000 0.424 [2 per cell]
Pb: 0.000 0.249 0.743 [4 per cell]
Pb: 0.500 0.000 0.183 [2 per cell]
Pb: 0.500 0.245 0.366 [4 per cell]

Calculated values
- spin magnetization (Bohr magnetons per cell) = 0.00
- uncorrected energy (eV/atom) = -3.328
- calculated volume (Å³/atom) = 37.4
- E_form (meV/atom) = -199

# 11
Entry from the Alexandria database: a relaxed structure of NaPrInIr (PBE-GGA).

a = 7.058 Å, b = 7.058 Å, c = 7.058 Å
α = 90.00°, β = 90.00°, γ = 90.00°
Space group F-43m (No. 216)
Inequivalent atoms, fractional coordinates:
Na: 0.000 0.000 0.000 [4 per cell]
Pr: 0.250 0.250 0.250 [4 per cell]
In: 0.250 0.250 0.750 [4 per cell]
Ir: 0.000 0.000 0.500 [4 per cell]

Calculated values
- spin magnetization (Bohr magnetons per cell) = 0.00
- uncorrected energy (eV/atom) = -4.640
- calculated volume (Å³/atom) = 22.0
- E_form (meV/atom) = -216

# 12
Entry from the Alexandria database: a relaxed structure of MnNbPd3 (PBE-GGA).

a = 5.435 Å, b = 7.844 Å, c = 7.496 Å
α = 90.00°, β = 90.00°, γ = 90.00°
Space group Pnma (No. 62)
Inequivalent atoms, fractional coordinates:
Mn: 0.000 0.000 0.000 [4 per cell]
Nb: 0.233 0.250 0.494 [4 per cell]
Pd: 0.092 0.559 0.674 [8 per cell]
Pd: 0.237 0.750 0.354 [4 per cell]

Calculated values
- distance to the lowest polymorph of the same formula (meV per atom) = 177
- spin magnetization (Bohr magnetons per cell) = 9.84
- uncorrected energy (eV/atom) = -6.993
- calculated volume (Å³/atom) = 16.0
- E_form (meV/atom) = -29

# 13
Entry from the Alexandria database: a relaxed structure of Pr2Zn2GaNi5 (PBE-GGA).

a = 9.630 Å, b = 9.630 Å, c = 3.480 Å
α = 90.00°, β = 90.00°, γ = 90.00°
Space group P4/mbm (No. 127)
Inequivalent atoms, fractional coordinates:
Pr: 0.179 0.321 0.000 [4 per cell]
Zn: 0.119 0.619 0.000 [4 per cell]
Ga: 0.000 0.000 0.000 [2 per cell]
Ni: 0.000 0.500 0.500 [2 per cell]
Ni: 0.054 0.802 0.500 [8 per cell]

Calculated values
- spin magnetization (Bohr magnetons per cell) = 0.00
- uncorrected energy (eV/atom) = -4.600
- calculated volume (Å³/atom) = 16.1
- E_form (meV/atom) = -196

# 14
Entry from the Alexandria database: a relaxed structure of NpUZnPt (PBE-GGA).

a = 6.759 Å, b = 6.759 Å, c = 6.759 Å
α = 90.00°, β = 90.00°, γ = 90.00°
Space group F-43m (No. 216)
Inequivalent atoms, fractional coordinates:
Np: 0.000 0.000 0.000 [4 per cell]
U: 0.250 0.250 0.750 [4 per cell]
Zn: 0.250 0.250 0.250 [4 per cell]
Pt: 0.000 0.000 0.500 [4 per cell]

Calculated values
- spin magnetization (Bohr magnetons per cell) = 28.07
- uncorrected energy (eV/atom) = -8.108
- calculated volume (Å³/atom) = 19.3
- E_form (meV/atom) = -222

# 15
Entry from the Alexandria database: a relaxed structure of Mg2Br (PBE-GGA).

a = 3.851 Å, b = 3.851 Å, c = 12.329 Å
α = 97.95°, β = 98.13°, γ = 90.01°
Space group P1 (No. 1)
Inequivalent atoms, fractional coordinates:
Mg: 0.000 0.000 0.000 [1 per cell]
Mg: 0.111 0.118 0.263 [1 per cell]
Mg: 0.434 0.443 0.854 [1 per cell]
Mg: 0.552 0.551 0.116 [1 per cell]
Br: 0.342 0.882 0.715 [1 per cell]
Br: 0.674 0.200 0.402 [1 per cell]

Calculated values
- distance to the lowest polymorph of the same formula (meV per atom) = 0
- spin magnetization (Bohr magnetons per cell) = 0.00
- uncorrected energy (eV/atom) = -2.135
- calculated volume (Å³/atom) = 29.9
- formation energy without anion corrections (meV per atom) = -515

# 16
Entry from the Alexandria database: a relaxed structure of Ho3Cd7In2 (PBE-GGA).

a = 4.781 Å, b = 4.086 Å, c = 15.561 Å
α = 90.00°, β = 98.74°, γ = 90.00°
Space group P2/m (No. 10)
Inequivalent atoms, fractional coordinates:
Ho: 0.000 0.000 0.000 [1 per cell]
Ho: 0.317 0.500 0.634 [2 per cell]
Cd: 0.075 0.500 0.149 [2 per cell]
Cd: 0.230 0.000 0.459 [2 per cell]
Cd: 0.420 0.000 0.841 [2 per cell]
Cd: 0.500 0.500 0.000 [1 per cell]
In: 0.142 0.000 0.280 [2 per cell]

Calculated values
- spin magnetization (Bohr magnetons per cell) = 0.00
- uncorrected energy (eV/atom) = -2.305
- calculated volume (Å³/atom) = 25.0
- E_form (meV/atom) = -170

# 17
Entry from the Alexandria database: a relaxed structure of YCd2Hg3 (PBE-GGA).

a = 5.1257 Å, b = 5.1257 Å, c = 12.4935 Å
α = 90.00°, β = 90.00°, γ = 120.00°
Space group P-3m1 (No. 164)
Inequivalent atoms, fractional coordinates:
Y: 0.3333 0.6667 0.1617 [2 per cell]
Cd: 0.0000 0.0000 0.0000 [1 per cell]
Cd: 0.0000 0.0000 0.5000 [1 per cell]
Cd: 0.3333 0.6667 0.6684 [2 per cell]
Hg: 0.0000 0.0000 0.2540 [2 per cell]
Hg: 0.3333 0.6667 0.4157 [2 per cell]
Hg: 0.3333 0.6667 0.9147 [2 per cell]

Calculated values
- distance to the lowest polymorph of the same formula (meV per atom) = 0
- spin magnetization (Bohr magnetons per cell) = 0.00
- uncorrected energy (eV/atom) = -1.763
- calculated volume (Å³/atom) = 23.7
- E_form (meV/atom) = -230

# 18
Entry from the Alexandria database: a relaxed structure of CsRb2RuCl8 (PBE-GGA).

a = 5.942 Å, b = 6.949 Å, c = 9.678 Å
α = 89.97°, β = 75.03°, γ = 89.85°
Space group P-1 (No. 2)
Inequivalent atoms, fractional coordinates:
Cs: 0.000 0.000 0.000 [1 per cell]
Rb: 0.350 0.499 0.307 [2 per cell]
Ru: 0.000 0.000 0.500 [1 per cell]
Cl: 0.169 0.238 0.613 [2 per cell]
Cl: 0.169 0.761 0.613 [2 per cell]
Cl: 0.244 0.500 0.996 [2 per cell]
Cl: 0.324 0.999 0.299 [2 per cell]

Calculated values
- spin magnetization (Bohr magnetons per cell) = 2.48
- uncorrected energy (eV/atom) = -3.434
- calculated volume (Å³/atom) = 32.2
- formation energy without anion corrections (meV per atom) = -1197

# 19
Entry from the Alexandria database: a relaxed structure of K5Sm3Cl12 (PBE-GGA).

a = 18.709 Å, b = 18.709 Å, c = 18.709 Å
α = 90.00°, β = 90.00°, γ = 90.00°
Space group Ia-3d (No. 230)
Inequivalent atoms, fractional coordinates:
K: 0.000 0.000 0.000 [16 per cell]
K: 0.000 0.250 0.375 [24 per cell]
Sm: 0.000 0.250 0.125 [24 per cell]
Cl: 0.015 0.026 0.162 [96 per cell]

Calculated values
- spin magnetization (Bohr magnetons per cell) = 14.65
- uncorrected energy (eV/atom) = -3.925
- calculated volume (Å³/atom) = 40.9
- formation energy without anion corrections (meV per atom) = -1834

# 20
Entry from the Alexandria database: a relaxed structure of LiHf2ZrAs4 (PBE-GGA).

a = 6.654 Å, b = 3.834 Å, c = 6.659 Å
α = 90.00°, β = 108.90°, γ = 90.00°
Space group P2/m (No. 10)
Inequivalent atoms, fractional coordinates:
Li: 0.000 0.000 0.000 [1 per cell]
Hf: 0.000 0.500 0.500 [1 per cell]
Hf: 0.500 0.000 0.500 [1 per cell]
Zr: 0.500 0.500 0.000 [1 per cell]
As: 0.244 0.000 0.751 [2 per cell]
As: 0.248 0.500 0.251 [2 per cell]

Calculated values
- spin magnetization (Bohr magnetons per cell) = 0.00
- uncorrected energy (eV/atom) = -7.067
- calculated volume (Å³/atom) = 20.1
- E_form (meV/atom) = -946